No. 1
A relaxed structure of CeY2P. Source: Alexandria via LeMat-Bulk, functional PBE.

abc: 3.7889 3.7889 28.1771
angles: 90.00 90.00 120.00
Closest atoms and distances in Å follow each position.
Space group R-3m (No. 166, hexagonal axes)
Unique sites:
Ce 0.0000 0.0000 0.0000  6 Y 3.75, 6 Ce 3.79
Y 0.0000 0.0000 0.2254  3 P 2.74
P 0.0000 0.0000 0.5000  6 Y 2.74

DFT formation energy: -61 kJ per mole of atoms

No. 2
A relaxed structure of CdPb2. Source: Alexandria via LeMat-Bulk, functional PBE.

abc: 7.7432 7.7432 5.8620
angles: 90.00 90.00 90.00
Closest atoms and distances in Å follow each position.
Space group I4/mcm (No. 140)
Unique sites:
Cd 0.0000 0.0000 0.2500  2 Cd 2.93, 8 Pb 3.27
Pb 0.1565 0.3435 0.0000  4 Cd 3.27, 3 Pb 3.43-3.58

DFT formation energy: 3 kJ per mole of atoms

No. 3
A relaxed structure of Pm4MgTl5. Source: Alexandria via LeMat-Bulk, functional PBE.

abc: 3.6932 3.6932 20.5313
angles: 90.00 90.00 90.00
Closest atoms and distances in Å follow each position.
Space group P4/mmm (No. 123)
Unique sites:
Pm 0.0000 0.0000 0.1038  8 Tl 3.37-3.38, 4 Pm 3.69
Pm 0.0000 0.0000 0.3124  8 Tl 3.36-3.37, 4 Pm 3.69
Mg 0.0000 0.0000 0.5000  8 Tl 3.14
Tl 0.5000 0.5000 0.0000  8 Pm 3.37, 4 Tl 3.69
Tl 0.5000 0.5000 0.2085  8 Pm 3.37-3.38, 4 Tl 3.69
Tl 0.5000 0.5000 0.4152  4 Mg 3.14, 4 Pm 3.36, 1 Tl 3.48

DFT formation energy: -32 kJ per mole of atoms

No. 4
A relaxed structure of ZnOs2I. Source: Alexandria via LeMat-Bulk, functional PBE.

abc: 5.8383 5.8383 10.9486
angles: 90.00 90.00 90.00
Closest atoms and distances in Å follow each position.
Space group I-42d (No. 122)
Unique sites:
Zn 0.0000 0.0000 0.0000  4 Os 2.45
Os 0.2409 0.2500 0.1250  2 Zn 2.45, 2 I 2.51
I 0.0000 0.0000 0.5000  4 Os 2.51

Raw formation energy: 1.78 eV per atom

no.,volume (Å³/cell)
1,350.32
2,351.47
3,280.03
4,373.20